(1)
DFT (SCAN) results for a PBEsol-optimized structure of NaCaNb2Ir.

abc: 4.6471 4.6471 4.3842
angles: 90.00 90.00 90.00
Space group P4/mmm (No. 123)
Asymmetric unit:
Na 0.0000 0.0000 0.0000 [1 per cell]
Ca 0.0000 0.0000 0.5000 [1 per cell]
Nb 0.0000 0.5000 0.5000 [2 per cell]
Ir 0.5000 0.5000 0.0000 [1 per cell]

Results
crystal system	tetragonal
E	-28.052	eV per atom
mass density	7.7	g/cm³
magnetization	0.000	μB/f.u.
ΔE_f	10.98	eV per formula unit

=====

(2)
DFT (SCAN) results for a PBEsol-optimized structure of ScOs2Au.

abc: 2.7467 2.7467 8.3666
angles: 90.00 90.00 90.00
Space group P4/mmm (No. 123)
Asymmetric unit:
Sc 0.0000 0.0000 0.0000 [1 per cell]
Os 0.5000 0.5000 0.2522 [2 per cell]
Au 0.0000 0.0000 0.5000 [1 per cell]

Results
polymorph energy (0 for the lowest one)	86	kJ/mol of formula units
crystal system	tetragonal
E	-56.443	eV per atom
mass density	16.4	g/cm³
magnetization	0.001	μB/f.u.
ΔE_f	1.38	eV per formula unit

=====

(3)
DFT (SCAN) results for a PBEsol-optimized structure of Zr2TcAg.

abc: 10.5252 3.3774 4.5727
angles: 90.00 115.66 90.00
Space group Cm (No. 8)
Asymmetric unit:
Zr 0.0000 0.0000 0.0000 [2 per cell]
Zr 0.2297 0.0000 0.7291 [2 per cell]
Tc 0.2187 0.5000 0.2182 [2 per cell]
Ag 0.4617 0.0000 0.4617 [2 per cell]

Results
crystal system	monoclinic
E	-32.033	eV per atom
mass density	8.8	g/cm³
magnetization	0.000	μB/f.u.
ΔE_f	-0.31	eV per formula unit

=====

(4)
DFT (SCAN) results for a PBEsol-optimized structure of Sn2Sb2Br.

abc: 4.7474 4.7474 13.5343
angles: 90.00 90.00 90.00
Space group I4/mmm (No. 139)
Asymmetric unit:
Sn 0.0000 0.5000 0.2500 [4 per cell]
Sb 0.0000 0.0000 0.1180 [4 per cell]
Br 0.0000 0.0000 0.5000 [2 per cell]

Results
crystal system	tetragonal
E	-33.221	eV per atom
raw formation energy	-0.057	eV/atom
mass density	6.1	g/cm³
magnetization	0.000	μB/f.u.

=====

(5)
DFT (SCAN) results for a PBEsol-optimized structure of MnTlSb.

abc: 6.5484 6.5484 6.5484
angles: 90.00 90.00 90.00
Space group F-43m (No. 216)
Asymmetric unit:
Mn 0.0000 0.0000 0.0000 [4 per cell]
Tl 0.2500 0.2500 0.7500 [4 per cell]
Sb 0.2500 0.2500 0.2500 [4 per cell]

Results
crystal system	cubic
E	-42.580	eV per atom
raw formation energy	0.045	eV/atom
mass density	9.0	g/cm³
magnetization	4.255	μB/f.u.

=====

(6)
DFT (SCAN) results for a PBEsol-optimized structure of YBiP2Cl.

abc: 5.2878 5.2878 4.9090
angles: 90.00 90.00 90.00
Space group P4/mmm (No. 123)
Asymmetric unit:
Y 0.0000 0.0000 0.0000 [1 per cell]
Bi 0.5000 0.5000 0.5000 [1 per cell]
P 0.0000 0.5000 0.0000 [2 per cell]
Cl 0.0000 0.0000 0.5000 [1 per cell]

Results
crystal system	tetragonal
E	-27.170	eV per atom
raw formation energy	-0.131	eV/atom
mass density	4.8	g/cm³
magnetization	0.000	μB/f.u.

=====

(7)
DFT (SCAN) results for a PBEsol-optimized structure of Gd2CoNi3.

abc: 3.9031 3.9031 7.5640
angles: 90.00 90.00 120.00
Space group P-6m2 (No. 187)
Asymmetric unit:
Gd 0.0000 0.0000 0.2477 [2 per cell]
Co 0.6667 0.3333 0.0000 [1 per cell]
Ni 0.3333 0.6667 0.0000 [1 per cell]
Ni 0.3333 0.6667 0.5000 [1 per cell]
Ni 0.6667 0.3333 0.5000 [1 per cell]

Results
crystal system	hexagonal
E	-30.776	eV per atom
mass density	9.1	g/cm³
magnetization	13.574	μB/f.u.
ΔE_f	-1.20	eV per formula unit

=====

(8)
DFT (SCAN) results for a PBEsol-optimized structure of TlAg3.

abc: 5.2545 9.4249 5.9928
angles: 90.00 90.00 90.00
Space group Pnma (No. 62)
Asymmetric unit:
Tl 0.0774 0.2500 0.1019 [4 per cell]
Ag 0.0862 0.2500 0.6220 [4 per cell]
Ag 0.2298 0.5017 0.3641 [8 per cell]

Results
crystal system	orthorhombic
E	-41.508	eV per atom
mass density	11.8	g/cm³
magnetization	0.000	μB/f.u.
ΔE_f	0.43	eV per formula unit

=====

(9)
DFT (SCAN) results for a PBEsol-optimized structure of RbAuSe.

abc: 6.7465 8.3590 6.7468
angles: 90.00 90.00 90.00
Space group Cmcm (No. 63)
Asymmetric unit:
Rb 0.0000 0.1343 0.2500 [4 per cell]
Au 0.0000 0.5000 0.0000 [4 per cell]
Se 0.0000 0.2921 0.7500 [4 per cell]

Results
crystal system	orthorhombic
E	-37.536	eV per atom
raw formation energy	-0.877	eV/atom
mass density	6.3	g/cm³
magnetization	0.000	μB/f.u.

=====

(10)
DFT (SCAN) results for a PBEsol-optimized structure of CaBr2.

abc: 6.5464 6.8173 4.3019
angles: 90.00 90.00 90.00
Space group Pnnm (No. 58)
Asymmetric unit:
Ca 0.0000 0.0000 0.0000 [2 per cell]
Br 0.2368 0.1602 0.5000 [4 per cell]

Results
crystal system	orthorhombic
E	-18.444	eV per atom
raw formation energy	-2.249	eV/atom
mass density	3.5	g/cm³
magnetization	0.000	μB/f.u.

=====

(11)
DFT (SCAN) results for a PBEsol-optimized structure of SbTe2PRu.

abc: 5.0658 5.0658 5.0058
angles: 90.00 90.00 90.00
Space group P4/mmm (No. 123)
Asymmetric unit:
Sb 0.0000 0.0000 0.0000 [1 per cell]
Te 0.0000 0.5000 0.5000 [2 per cell]
P 0.5000 0.5000 0.0000 [1 per cell]
Ru 0.0000 0.0000 0.5000 [1 per cell]

Results
crystal system	tetragonal
E	-30.582	eV per atom
raw formation energy	0.816	eV/atom
mass density	6.6	g/cm³
magnetization	0.001	μB/f.u.

=====

(12)
DFT (SCAN) results for a PBEsol-optimized structure of Mn3MoBr.

abc: 4.6210 4.6210 4.6210
angles: 90.00 90.00 90.00
Space group Pm-3m (No. 221)
Asymmetric unit:
Mn 0.0000 0.0000 0.5000 [3 per cell]
Mo 0.0000 0.0000 0.0000 [1 per cell]
Br 0.5000 0.5000 0.5000 [1 per cell]

Results
crystal system	cubic
E	-20.744	eV per atom
raw formation energy	1.078	eV/atom
mass density	5.7	g/cm³
magnetization	11.110	μB/f.u.

=====

(13)
DFT (SCAN) results for a PBEsol-optimized structure of TeAs.

abc: 5.8475 5.8475 5.8475
angles: 90.00 90.00 90.00
Space group Fm-3m (No. 225)
Asymmetric unit:
Te 0.0000 0.0000 0.0000 [4 per cell]
As 0.0000 0.0000 0.5000 [4 per cell]

Results
crystal system	cubic
E	-28.636	eV per atom
raw formation energy	0.085	eV/atom
mass density	6.7	g/cm³
magnetization	0.000	μB/f.u.

=====

(14)
DFT (SCAN) results for a PBEsol-optimized structure of Fe2MoIrRh.

abc: 4.3801 4.3801 4.4993
angles: 90.00 90.00 90.00
Space group P4/mmm (No. 123)
Asymmetric unit:
Fe 0.0000 0.5000 0.0000 [2 per cell]
Mo 0.0000 0.0000 0.5000 [1 per cell]
Ir 0.5000 0.5000 0.5000 [1 per cell]
Rh 0.0000 0.0000 0.0000 [1 per cell]

Results
crystal system	tetragonal
E	-33.656	eV per atom
mass density	9.7	g/cm³
magnetization	6.809	μB/f.u.
ΔE_f	7.73	eV per formula unit

=====

(15)
DFT (SCAN) results for a PBEsol-optimized structure of GeBrF3.

abc: 4.1349 4.1349 4.1349
angles: 90.00 90.00 90.00
Space group Pm-3m (No. 221)
Asymmetric unit:
Ge 0.0000 0.0000 0.0000 [1 per cell]
Br 0.5000 0.5000 0.5000 [1 per cell]
F 0.0000 0.0000 0.5000 [3 per cell]

Results
crystal system	cubic
E	-11.049	eV per atom
raw formation energy	-1.215	eV/atom
mass density	4.9	g/cm³
magnetization	1.060	μB/f.u.

=====

(16)
DFT (SCAN) results for a PBEsol-optimized structure of LaSnPt.

abc: 7.4894 4.6395 8.0399
angles: 90.00 90.00 90.00
Space group Pnma (No. 62)
Asymmetric unit:
La 0.0151 0.2500 0.1931 [4 per cell]
Sn 0.1727 0.2500 0.5825 [4 per cell]
Pt 0.2100 0.7500 0.4074 [4 per cell]

Results
crystal system	orthorhombic
E	-50.993	eV per atom
mass density	10.8	g/cm³
magnetization	0.000	μB/f.u.
ΔE_f	-3.76	eV per formula unit

=====

(17)
DFT (SCAN) results for a PBEsol-optimized structure of Tc2AgOs.

abc: 2.7133 3.8951 5.5221
angles: 90.00 90.00 90.00
Space group Pmm2 (No. 25)
Asymmetric unit:
Tc 0.0000 0.0000 0.0000 [1 per cell]
Tc 0.5000 0.5000 0.2311 [1 per cell]
Ag 0.0000 0.0000 0.5023 [1 per cell]
Os 0.5000 0.5000 0.7794 [1 per cell]

Results
polymorph energy (0 for the lowest one)	35	kJ/mol of formula units
crystal system	orthorhombic
E	-42.928	eV per atom
mass density	14.1	g/cm³
magnetization	0.000	μB/f.u.
ΔE_f	1.66	eV per formula unit

=====

(18)
DFT (SCAN) results for a PBEsol-optimized structure of YGa3Bi.

abc: 5.3441 5.3441 5.3441
angles: 90.00 90.00 90.00
Space group Pm-3m (No. 221)
Asymmetric unit:
Y 0.0000 0.0000 0.0000 [1 per cell]
Ga 0.0000 0.5000 0.5000 [3 per cell]
Bi 0.5000 0.5000 0.5000 [1 per cell]

Results
crystal system	cubic
E	-30.474	eV per atom
mass density	5.5	g/cm³
magnetization	0.000	μB/f.u.
ΔE_f	3.09	eV per formula unit

=====

(19)
DFT (SCAN) results for a PBEsol-optimized structure of CrTe2I.

abc: 13.4300 3.9034 9.3041
angles: 90.00 100.08 90.00
Space group C2/m (No. 12)
Asymmetric unit:
Cr 0.1922 0.0000 0.3295 [4 per cell]
Te 0.1722 0.0000 0.6085 [4 per cell]
Te 0.1818 0.0000 0.0364 [4 per cell]
I 0.0474 0.5000 0.2488 [4 per cell]

Results
crystal system	monoclinic
E	-32.795	eV per atom
raw formation energy	-0.388	eV/atom
mass density	6.0	g/cm³
magnetization	3.012	μB/f.u.

=====

(20)
DFT (SCAN) results for a PBEsol-optimized structure of LaSnRhO2.

abc: 4.2589 4.2589 4.8738
angles: 90.00 90.00 90.00
Space group P4/mmm (No. 123)
Asymmetric unit:
La 0.0000 0.0000 0.0000 [1 per cell]
Sn 0.5000 0.5000 0.0000 [1 per cell]
Rh 0.5000 0.5000 0.5000 [1 per cell]
O 0.0000 0.5000 0.5000 [2 per cell]

Results
crystal system	tetragonal
E	-25.658	eV per atom
raw formation energy	-0.606	eV/atom
mass density	7.4	g/cm³
magnetization	0.407	μB/f.u.